# 1
# GGA-PBE Si2AgAu2, relaxed
data_Si2AgAu2
_chemical_formula_sum 'Si2 Ag1 Au2'
_symmetry_space_group_name_H-M 'P 1'
_symmetry_Int_Tables_number 1
_symmetry_space_group_name_Hall 'P 1'
_cell_length_a 6.858
_cell_length_b 6.858
_cell_length_c 6.858
_cell_angle_alpha 148.30
_cell_angle_beta 148.30
_cell_angle_gamma 45.44
loop_
_atom_site_label
_atom_site_type_symbol
_atom_site_fract_x
_atom_site_fract_y
_atom_site_fract_z
_atom_site_occupancy
Si1 Si 0.250 0.750 0.500 1
Si2 Si 0.750 0.250 0.500 1
Au1 Au 0.608 0.608 0.000 1
Au2 Au 0.392 0.392 0.000 1
Ag1 Ag 0.000 0.000 0.000 1
# SG: I4/mmm
# Calculated total energy, eV per atom: -3.8665

---

# 2
# GGA-PBE LuAlTe3Pb, relaxed
data_LuAlTe3Pb
_chemical_formula_sum 'Lu2 Al2 Te6 Pb2'
_symmetry_space_group_name_H-M 'P 1'
_symmetry_Int_Tables_number 1
_symmetry_space_group_name_Hall 'P 1'
_cell_length_a 7.736
_cell_length_b 7.736
_cell_length_c 11.108
_cell_angle_alpha 90.00
_cell_angle_beta 90.00
_cell_angle_gamma 147.91
loop_
_atom_site_label
_atom_site_type_symbol
_atom_site_fract_x
_atom_site_fract_y
_atom_site_fract_z
_atom_site_occupancy
Te1 Te 0.143 0.857 0.462 1
Te2 Te 0.857 0.143 0.538 1
Te3 Te 0.857 0.143 0.962 1
Te4 Te 0.415 0.585 0.250 1
Te5 Te 0.585 0.415 0.750 1
Al1 Al 0.958 0.042 0.750 1
Lu1 Lu 0.500 0.500 0.000 1
Pb1 Pb 0.730 0.270 0.250 1
Al2 Al 0.042 0.958 0.250 1
Lu2 Lu 0.500 0.500 0.500 1
Pb2 Pb 0.270 0.730 0.750 1
Te6 Te 0.143 0.857 0.038 1
# SG: Cmcm
# Calculated total energy, eV per atom: -4.0935

---

# 3
# GGA-PBE MoCl3, relaxed
data_MoCl3
_chemical_formula_sum 'Mo4 Cl12'
_symmetry_space_group_name_H-M 'P 1'
_symmetry_Int_Tables_number 1
_symmetry_space_group_name_Hall 'P 1'
_cell_length_a 5.813
_cell_length_b 11.046
_cell_length_c 6.383
_cell_angle_alpha 90.00
_cell_angle_beta 90.00
_cell_angle_gamma 90.00
loop_
_atom_site_label
_atom_site_type_symbol
_atom_site_fract_x
_atom_site_fract_y
_atom_site_fract_z
_atom_site_occupancy
Cl1 Cl 0.000 0.000 0.553 1
Cl2 Cl 0.500 0.500 0.447 1
Cl3 Cl 0.500 0.154 0.400 1
Cl4 Cl 0.000 0.654 0.600 1
Mo1 Mo 0.749 0.000 0.245 1
Mo2 Mo 0.751 0.500 0.755 1
Cl5 Cl 0.500 0.846 0.400 1
Mo3 Mo 0.249 0.500 0.755 1
Cl6 Cl 0.000 0.346 0.600 1
Cl7 Cl 0.000 0.154 0.092 1
Mo4 Mo 0.251 0.000 0.245 1
Cl8 Cl 0.000 0.500 0.063 1
Cl9 Cl 0.500 0.346 0.908 1
Cl10 Cl 0.000 0.846 0.092 1
Cl11 Cl 0.500 0.654 0.908 1
Cl12 Cl 0.500 0.000 0.937 1
# SG: Pmmn
# Calculated total energy, eV per atom: -4.9456